# 1
Density functional theory data (PBE) for a geometry-optimized Y2MgZn4Au3 structure.

Formation energy   -5.0 eV per formula unit
SG   P-4m2 (115)
Density   8.82 g cm⁻³
Fermi-level density of states   5.24 states/eV/cell

CIF file:
```
data_Y2MgZn4Au3
_symmetry_space_group_name_H-M 'P 1'
_symmetry_Int_Tables_number 1
_cell_length_a 4.0377
_cell_length_b 4.0377
_cell_length_c 12.1842
_cell_angle_alpha 90.00
_cell_angle_beta 90.00
_cell_angle_gamma 90.00
loop_
_symmetry_equiv_pos_as_xyz
'x,y,z'
loop_
_atom_site_label
_atom_site_type_symbol
_atom_site_fract_x
_atom_site_fract_y
_atom_site_fract_z
Y1 Y 0.5000 0.0000 0.2464
Zn1 Zn 0.0000 0.0000 0.0000
Au1 Au 0.0000 0.5000 0.1442
Y2 Y 0.0000 0.5000 0.7536
Au2 Au 0.0000 0.0000 0.5000
Zn2 Zn 0.0000 0.5000 0.3542
Mg1 Mg 0.5000 0.5000 0.5000
Au3 Au 0.5000 0.0000 0.8558
Zn3 Zn 0.5000 0.0000 0.6458
Zn4 Zn 0.5000 0.5000 0.0000
```

***

# 2
Density functional theory data (PBE) for a geometry-optimized LaNi2Te structure.

SG   Amm2 (38)
Electronic total energy   -5.458 eV/atom
Density   7.92 g cm⁻³
Fermi-level density of states   1.47 states/eV/cell

CIF file:
```
data_LaNi2Te
_symmetry_space_group_name_H-M 'P 1'
_symmetry_Int_Tables_number 1
_cell_length_a 4.4578
_cell_length_b 4.4031
_cell_length_c 4.4067
_cell_angle_alpha 68.61
_cell_angle_beta 90.00
_cell_angle_gamma 90.00
loop_
_symmetry_equiv_pos_as_xyz
'x,y,z'
loop_
_atom_site_label
_atom_site_type_symbol
_atom_site_fract_x
_atom_site_fract_y
_atom_site_fract_z
Te1 Te 0.0000 0.4230 0.4231
La1 La 0.5000 0.7895 0.7900
Ni1 Ni 0.0000 0.0697 0.0684
Ni2 Ni 0.5000 0.2178 0.2185
```

***

# 3
Density functional theory data (PBE) for a geometry-optimized Mg3Sb structure.

SG   Pm-3m (221)
Energy above the lowest structure with this stoichiometry   0 meV/atom
Density   3.52 g cm⁻³
Fermi-level density of states   2.03 states/eV/cell

CIF file:
```
data_Mg3Sb
_symmetry_space_group_name_H-M 'P 1'
_symmetry_Int_Tables_number 1
_cell_length_a 4.5078
_cell_length_b 4.5117
_cell_length_c 4.5163
_cell_angle_alpha 90.00
_cell_angle_beta 90.00
_cell_angle_gamma 90.00
loop_
_symmetry_equiv_pos_as_xyz
'x,y,z'
loop_
_atom_site_label
_atom_site_type_symbol
_atom_site_fract_x
_atom_site_fract_y
_atom_site_fract_z
Mg1 Mg 0.5000 0.5000 0.0832
Mg2 Mg 0.0000 0.0000 0.0834
Mg3 Mg 0.0000 0.5000 0.5830
Sb1 Sb 0.5000 0.0000 0.5837
```

***

# 4
Density functional theory data (PBE) for a geometry-optimized ZrSe2O6 structure.

SG   P-3m1 (164)
Electronic total energy   -6.643 eV/atom
Density   3.31 g cm⁻³
Fermi-level density of states   0.00 states/eV/cell

CIF file:
```
data_ZrSe2O6
_symmetry_space_group_name_H-M 'P 1'
_symmetry_Int_Tables_number 1
_cell_length_a 6.3003
_cell_length_b 5.6312
_cell_length_c 5.6312
_cell_angle_alpha 120.00
_cell_angle_beta 90.00
_cell_angle_gamma 90.00
loop_
_symmetry_equiv_pos_as_xyz
'x,y,z'
loop_
_atom_site_label
_atom_site_type_symbol
_atom_site_fract_x
_atom_site_fract_y
_atom_site_fract_z
Se1 Se 0.6908 0.3333 0.6667
Se2 Se 0.3092 0.6667 0.3333
O1 O 0.8058 0.1744 0.3488
O2 O 0.8058 0.1744 0.8256
Zr1 Zr 0.0000 0.0000 0.0000
O3 O 0.1942 0.8256 0.1744
O4 O 0.1942 0.8256 0.6512
O5 O 0.8058 0.6512 0.8256
O6 O 0.1942 0.3488 0.1744
```

***

# 5
Density functional theory data (PBE) for a geometry-optimized La3H6Ru structure.

SG   R-3 (148)
Electronic total energy   -4.774 eV/atom
Density   6.14 g cm⁻³
Fermi-level density of states   11.25 states/eV/cell

CIF file:
```
data_La3H6Ru
_symmetry_space_group_name_H-M 'P 1'
_symmetry_Int_Tables_number 1
_cell_length_a 6.5691
_cell_length_b 6.5691
_cell_length_c 6.5691
_cell_angle_alpha 91.66
_cell_angle_beta 91.66
_cell_angle_gamma 91.66
loop_
_symmetry_equiv_pos_as_xyz
'x,y,z'
loop_
_atom_site_label
_atom_site_type_symbol
_atom_site_fract_x
_atom_site_fract_y
_atom_site_fract_z
La1 La 0.9404 0.7514 0.4587
H1 H 0.5472 0.4272 0.2469
H2 H 0.7531 0.4528 0.5728
Ru1 Ru 0.5000 0.5000 0.5000
H3 H 0.9168 0.0620 0.2466
H4 H 0.4272 0.2469 0.5472
La2 La 0.2486 0.5413 0.0596
H5 H 0.5728 0.7531 0.4528
H6 H 0.0832 0.9380 0.7534
Ru2 Ru 0.0000 0.0000 0.0000
La3 La 0.5413 0.0596 0.2486
H7 H 0.4528 0.5728 0.7531
La4 La 0.4587 0.9404 0.7514
La5 La 0.0596 0.2486 0.5413
H8 H 0.7534 0.0832 0.9380
H9 H 0.2466 0.9168 0.0620
H10 H 0.2469 0.5472 0.4272
H11 H 0.0620 0.2466 0.9168
La6 La 0.7514 0.4587 0.9404
H12 H 0.9380 0.7534 0.0832
```

***

# 6
Density functional theory data (PBE) for a geometry-optimized Rb3Ce3NdS8 structure.

SG   R-3m (166)
Electronic total energy   -5.712 eV/atom
Density   3.79 g cm⁻³
Fermi-level density of states   13.21 states/eV/cell

CIF file:
```
data_Rb3Ce3NdS8
_symmetry_space_group_name_H-M 'P 1'
_symmetry_Int_Tables_number 1
_cell_length_a 8.3834
_cell_length_b 8.3838
_cell_length_c 9.1427
_cell_angle_alpha 117.30
_cell_angle_beta 90.00
_cell_angle_gamma 120.00
loop_
_symmetry_equiv_pos_as_xyz
'x,y,z'
loop_
_atom_site_label
_atom_site_type_symbol
_atom_site_fract_x
_atom_site_fract_y
_atom_site_fract_z
S1 S 0.7311 0.4621 0.6931
S2 S 0.2737 0.0423 0.3110
S3 S 0.2689 0.5379 0.3069
Ce1 Ce 0.5000 0.5000 0.5000
Ce2 Ce 0.0000 0.5000 0.5000
S4 S 0.7686 0.5372 0.3109
Rb1 Rb 0.0000 0.5000 0.0000
Ce3 Ce 0.5000 0.0000 0.5000
Nd1 Nd 0.0000 0.0000 0.5000
S5 S 0.2314 0.4628 0.6891
S6 S 0.7263 0.9577 0.6890
Rb2 Rb 0.5000 0.5000 0.0000
S7 S 0.7686 0.0423 0.3110
S8 S 0.2314 0.9577 0.6890
Rb3 Rb 0.0000 0.0000 0.0000
```

***

# 7
Density functional theory data (PBE) for a geometry-optimized TaGeI2Cl structure.

SG   P4/mmm (123)
Electronic total energy   -2.812 eV/atom
Density   4.86 g cm⁻³
Fermi-level density of states   7.24 states/eV/cell

CIF file:
```
data_TaGeI2Cl
_symmetry_space_group_name_H-M 'P 1'
_symmetry_Int_Tables_number 1
_cell_length_a 6.3383
_cell_length_b 4.6211
_cell_length_c 6.3383
_cell_angle_alpha 90.00
_cell_angle_beta 90.00
_cell_angle_gamma 90.00
loop_
_symmetry_equiv_pos_as_xyz
'x,y,z'
loop_
_atom_site_label
_atom_site_type_symbol
_atom_site_fract_x
_atom_site_fract_y
_atom_site_fract_z
Ge1 Ge 0.0000 0.5000 0.0000
Cl1 Cl 0.0000 0.0000 0.0000
I1 I 0.5000 0.0000 0.0000
Ta1 Ta 0.5000 0.5000 0.5000
I2 I 0.0000 0.0000 0.5000
```

***

# 8
Density functional theory data (PBE) for a geometry-optimized TcRh2Pb2 structure.

Formation energy   2.6 eV per formula unit
SG   P4/mbm (127)
Energy above the lowest structure with this stoichiometry   0 meV/atom
Density   12.75 g cm⁻³
Fermi-level density of states   7.73 states/eV/cell

CIF file:
```
data_TcRh2Pb2
_symmetry_space_group_name_H-M 'P 1'
_symmetry_Int_Tables_number 1
_cell_length_a 7.8202
_cell_length_b 7.8202
_cell_length_c 3.0592
_cell_angle_alpha 90.00
_cell_angle_beta 90.00
_cell_angle_gamma 90.00
loop_
_symmetry_equiv_pos_as_xyz
'x,y,z'
loop_
_atom_site_label
_atom_site_type_symbol
_atom_site_fract_x
_atom_site_fract_y
_atom_site_fract_z
Pb1 Pb 0.1573 0.3427 0.0000
Rh1 Rh 0.1424 0.6424 0.5000
Pb2 Pb 0.3427 0.8427 0.0000
Rh2 Rh 0.6424 0.8576 0.5000
Pb3 Pb 0.6573 0.1573 0.0000
Tc1 Tc 0.0000 0.0000 0.0000
Tc2 Tc 0.5000 0.5000 0.0000
Rh3 Rh 0.3576 0.1424 0.5000
Rh4 Rh 0.8576 0.3576 0.5000
Pb4 Pb 0.8427 0.6573 0.0000
```